[1]
! Na3Pd3IO8 (GGA-PBE, optimized geometry); values from VASP
&SYSTEM
  ibrav = 0, nat = 15, ntyp = 4
/
ATOMIC_SPECIES
O 16.00 O.upf
I 126.90 I.upf
Na 22.99 Na.upf
Pd 106.42 Pd.upf
CELL_PARAMETERS angstrom
-4.242 -3.982 -1.259
2.167 -0.036 6.887
-3.866 4.756 -2.017
ATOMIC_POSITIONS crystal
O 0.275 0.069 0.736
I 0.000 0.000 0.500
Na 0.000 0.000 0.000
Na 0.500 0.500 0.000
O 0.205 0.931 0.264
Pd 0.500 0.500 0.500
Pd 0.000 0.500 0.500
O 0.219 0.439 0.261
O 0.781 0.561 0.739
O 0.182 0.364 0.629
Pd 0.500 0.000 0.500
O 0.818 0.636 0.371
Na 0.000 0.500 0.000
O 0.795 0.069 0.736
O 0.725 0.931 0.264
! **Calculated total energy**: -4.79 eV per atom
! **Energy relative to the elements, uncorrected**: -71 kJ per mole of atoms

[2]
! NaPdIO2 (GGA-PBE, optimized geometry); values from VASP
&SYSTEM
  ibrav = 0, nat = 5, ntyp = 4
/
ATOMIC_SPECIES
I 126.90 I.upf
O 16.00 O.upf
Pd 106.42 Pd.upf
Na 22.99 Na.upf
CELL_PARAMETERS angstrom
4.088 0.000 0.000
0.000 4.088 0.000
0.000 0.000 5.847
ATOMIC_POSITIONS crystal
I 0.000 0.000 0.500
O 0.500 0.000 0.000
Pd 0.000 0.000 0.000
O 0.000 0.500 0.000
Na 0.500 0.500 0.500
! **Calculated total energy**: -3.86 eV per atom
! **Energy above the lowest structure with this stoichiometry**: 0 meV per atom
! **Energy relative to the elements, uncorrected**: -25 kJ per mole of atoms

[3]
! NaPdIO4 (GGA-PBE, optimized geometry); values from VASP
&SYSTEM
  ibrav = 0, nat = 14, ntyp = 4
/
ATOMIC_SPECIES
O 16.00 O.upf
Pd 106.42 Pd.upf
Na 22.99 Na.upf
I 126.90 I.upf
CELL_PARAMETERS angstrom
5.284 0.064 0.000
-2.064 4.865 0.000
0.000 0.000 7.778
ATOMIC_POSITIONS crystal
O 0.775 0.225 0.994
O 0.775 0.225 0.506
Pd 0.806 0.194 0.250
Na 0.500 0.500 0.000
Pd 0.194 0.806 0.750
O 0.225 0.775 0.494
O 0.251 0.205 0.250
O 0.205 0.251 0.750
O 0.749 0.795 0.750
Na 0.500 0.500 0.500
I 0.825 0.175 0.750
O 0.225 0.775 0.006
I 0.175 0.825 0.250
O 0.795 0.749 0.250
! **Calculated total energy**: -4.49 eV per atom
! **Energy relative to the elements, uncorrected**: -49 kJ per mole of atoms

[4]
! NaPdIO2 (GGA-PBE, optimized geometry); values from VASP
&SYSTEM
  ibrav = 0, nat = 5, ntyp = 4
/
ATOMIC_SPECIES
Pd 106.42 Pd.upf
O 16.00 O.upf
I 126.90 I.upf
Na 22.99 Na.upf
CELL_PARAMETERS angstrom
4.208 0.000 0.000
0.000 4.208 0.000
0.000 0.000 6.186
ATOMIC_POSITIONS crystal
Pd 0.500 0.500 0.500
O 0.500 0.000 0.000
I 0.000 0.000 0.500
O 0.000 0.500 0.000
Na 0.000 0.000 0.000
! **Calculated total energy**: -3.11 eV per atom
! **Energy above the lowest structure with this stoichiometry**: 751 meV per atom
! **Energy relative to the elements, uncorrected**: 47 kJ per mole of atoms

[5]
! NaPdI2O8 (GGA-PBE, optimized geometry); values from VASP
&SYSTEM
  ibrav = 0, nat = 12, ntyp = 4
/
ATOMIC_SPECIES
O 16.00 O.upf
I 126.90 I.upf
Na 22.99 Na.upf
Pd 106.42 Pd.upf
CELL_PARAMETERS angstrom
6.232 0.367 0.000
-2.435 5.748 0.000
-1.898 -3.057 5.101
ATOMIC_POSITIONS crystal
O 0.864 0.653 0.210
I 0.500 0.500 0.000
I 0.750 0.250 0.500
O 0.900 0.597 0.698
O 0.347 0.557 0.210
O 0.347 0.136 0.790
Na 0.000 0.000 0.000
O 0.900 0.202 0.302
Pd 0.250 0.750 0.500
O 0.798 0.100 0.698
O 0.443 0.653 0.790
O 0.403 0.100 0.302
! **Calculated total energy**: -4.31 eV per atom
! **Energy relative to the elements, uncorrected**: -20 kJ per mole of atoms

[6]
! Na2PmIO6 (GGA-PBE, optimized geometry); values from VASP
&SYSTEM
  ibrav = 0, nat = 20, ntyp = 4
/
ATOMIC_SPECIES
O 16.00 O.upf
Na 22.99 Na.upf
Pm 145.00 Pm.upf
I 126.90 I.upf
CELL_PARAMETERS angstrom
5.707 0.000 -0.022
0.000 5.839 0.000
0.018 0.000 8.158
ATOMIC_POSITIONS crystal
O 0.174 0.232 0.055
Na 0.991 0.037 0.747
O 0.594 0.036 0.277
O 0.731 0.318 0.956
Na 0.509 0.537 0.753
Na 0.009 0.963 0.253
O 0.826 0.768 0.945
Pm 0.000 0.500 0.500
I 0.500 0.000 0.500
O 0.906 0.536 0.223
Pm 0.500 0.000 0.000
O 0.094 0.464 0.777
O 0.231 0.182 0.456
O 0.674 0.268 0.555
O 0.769 0.818 0.544
O 0.269 0.682 0.044
I 0.000 0.500 0.000
Na 0.491 0.463 0.247
O 0.326 0.732 0.445
O 0.406 0.964 0.723
! **Calculated total energy**: -5.50 eV per atom
! **Energy relative to the elements, uncorrected**: -157 kJ per mole of atoms

[7]
! NaPmI2O8 (GGA-PBE, optimized geometry); values from VASP
&SYSTEM
  ibrav = 0, nat = 12, ntyp = 4
/
ATOMIC_SPECIES
O 16.00 O.upf
Na 22.99 Na.upf
I 126.90 I.upf
Pm 145.00 Pm.upf
CELL_PARAMETERS angstrom
6.387 0.067 0.000
-2.773 5.754 0.000
-1.807 -2.910 5.391
ATOMIC_POSITIONS crystal
O 0.869 0.678 0.192
O 0.486 0.678 0.808
O 0.322 0.514 0.192
Na 0.000 0.000 0.000
O 0.322 0.131 0.808
O 0.745 0.065 0.680
O 0.935 0.255 0.320
O 0.384 0.065 0.320
I 0.750 0.250 0.500
O 0.935 0.616 0.680
I 0.500 0.500 0.000
Pm 0.250 0.750 0.500
! **Calculated total energy**: -5.07 eV per atom
! **Energy relative to the elements, uncorrected**: -97 kJ per mole of atoms

[8]
! NaPm2IO6 (GGA-PBE, optimized geometry); values from VASP
&SYSTEM
  ibrav = 0, nat = 10, ntyp = 4
/
ATOMIC_SPECIES
O 16.00 O.upf
Pm 145.00 Pm.upf
I 126.90 I.upf
Na 22.99 Na.upf
CELL_PARAMETERS angstrom
-3.025 -0.103 -5.344
1.533 -3.889 -4.500
-3.620 -4.707 -1.568
ATOMIC_POSITIONS crystal
O 0.295 0.617 0.906
Pm 0.702 0.702 0.702
O 0.829 0.347 0.090
I 0.007 0.007 0.007
O 0.906 0.295 0.617
Pm 0.221 0.221 0.221
O 0.617 0.906 0.295
O 0.347 0.090 0.829
Na 0.487 0.487 0.487
O 0.090 0.829 0.347
! **Calculated total energy**: -6.28 eV per atom
! **Energy relative to the elements, uncorrected**: -200 kJ per mole of atoms